Entry 1:
The following is a DFT calculation (meta-GGA SCAN) of ZrScSbI2 at its PBEsol-relaxed geometry.

Formation energy without anion corrections = 0.04 eV/atom
E_tot = -31.10 eV/atom

Geometry as POSCAR:
```
ZrScSbI2
1.0
5.482 0.000 0.000
0.000 5.482 0.000
0.000 0.000 5.693
Zr Sc I Sb
1 1 2 1
Direct
0.000 0.000 0.000
0.500 0.500 0.500
0.500 0.000 0.000
0.000 0.500 0.000
0.000 0.000 0.500
```

***

Entry 2:
The following is a DFT calculation (meta-GGA SCAN) of SbSeI2 at its PBEsol-relaxed geometry.

Formation energy without anion corrections = 0.16 eV/atom
E_tot = -32.55 eV/atom

Geometry as POSCAR:
```
SbSeI2
1.0
-1.456 2.495 -4.479
1.949 -4.528 -6.327
-7.495 -2.119 -1.915
I Se Sb
4 2 2
Direct
0.754 0.871 0.371
0.875 0.371 0.129
0.996 0.129 0.629
0.375 0.629 0.871
0.250 0.500 0.500
0.500 0.000 0.000
0.000 0.000 0.000
0.750 0.500 0.500
```

***

Entry 3:
The following is a DFT calculation (meta-GGA SCAN) of SbSe3I at its PBEsol-relaxed geometry.

Formation energy without anion corrections = 0.57 eV/atom
E_tot = -26.28 eV/atom

Geometry as POSCAR:
```
SbSe3I
1.0
5.258 0.000 0.000
0.000 5.258 0.000
0.000 0.000 5.258
Sb Se I
1 3 1
Direct
0.000 0.000 0.000
0.500 0.000 0.000
0.000 0.000 0.500
0.000 0.500 0.000
0.500 0.500 0.500
```